The following is a GGA-PBE calculation of crystalline AlGa2S at its relaxed geometry, from the Alexandria database.

As for the density of states at the Fermi level: 17.57 states/eV/cell. Its total energy is -3.273 eV/atom. The energy above the most stable polymorph in this dataset comes out at 0.267 eV/atom. The formation energy from raw total energies comes out at 0.21 eV per atom.

The space group is Fm-3m (No. 225) and the conventional cell measures 6.728, 6.728 and 6.728 Å, with angles of 90.00, 90.00 and 90.00 degrees. The distinct sites, in fractional coordinates, are Al at (0.000, 0.000, 0.000), Ga at (0.250, 0.250, 0.250) and S at (0.000, 0.000, 0.500).